No. 1
DFT (PBE) results for a geometry-optimized YCdBi2 structure.

Structure (CIF):
```
data_YCdBi2
_chemical_formula_sum 'Y1 Cd1 Bi2'
_symmetry_space_group_name_H-M 'P 1'
_symmetry_Int_Tables_number 1
_symmetry_space_group_name_Hall 'P 1'
_cell_length_a 4.2752
_cell_length_b 5.1184
_cell_length_c 5.1184
_cell_angle_alpha 90.00
_cell_angle_beta 90.00
_cell_angle_gamma 90.00
loop_
_atom_site_label
_atom_site_fract_x
_atom_site_fract_y
_atom_site_fract_z
Cd1 0.5000 0.5000 0.5000
Bi1 0.0000 0.5000 0.0000
Bi2 0.0000 0.0000 0.5000
Y1 0.5000 0.0000 0.0000
```

Output
The calculation puts the energy at -16.68 eV for the cell shown. The calculation puts the formation enthalpy at 0 K at -1.5 eV per formula unit. As for the crystal system: tetragonal.

=====

No. 2
DFT (PBE) results for a geometry-optimized PaAs2Pd4 structure.

Structure (CIF):
```
data_PaAs2Pd4
_chemical_formula_sum 'Pa1 As2 Pd4'
_symmetry_space_group_name_H-M 'P 1'
_symmetry_Int_Tables_number 1
_symmetry_space_group_name_Hall 'P 1'
_cell_length_a 4.0882
_cell_length_b 4.0608
_cell_length_c 7.7010
_cell_angle_alpha 105.29
_cell_angle_beta 90.00
_cell_angle_gamma 90.00
loop_
_atom_site_label
_atom_site_fract_x
_atom_site_fract_y
_atom_site_fract_z
Pd1 0.5000 0.8174 0.6348
Pd2 0.5000 0.1826 0.3652
Pd3 0.0000 0.6804 0.3609
Pd4 0.0000 0.3196 0.6391
As1 0.5000 0.4153 0.8306
As2 0.5000 0.5847 0.1694
Pa1 0.0000 0.0000 0.0000
```

Output
The calculation puts the energy at -43.02 eV for the cell shown. The calculation puts the formation enthalpy at 0 K at -3.5 eV per formula unit. The distance to the lowest polymorph of the same formula comes out at 135 meV per atom. As for the crystal system: orthorhombic.

=====

No. 3
DFT (PBE) results for a geometry-optimized Th2Al5Ni3 structure.

Structure (CIF):
```
data_Th2Al5Ni3
_chemical_formula_sum 'Th4 Al10 Ni6'
_symmetry_space_group_name_H-M 'P 1'
_symmetry_Int_Tables_number 1
_symmetry_space_group_name_Hall 'P 1'
_cell_length_a 4.2230
_cell_length_b 6.8063
_cell_length_c 12.5127
_cell_angle_alpha 90.00
_cell_angle_beta 99.72
_cell_angle_gamma 90.00
loop_
_atom_site_label
_atom_site_fract_x
_atom_site_fract_y
_atom_site_fract_z
Al1 0.9460 0.1145 0.8920
Al2 0.1304 0.2367 0.2608
Al3 0.0540 0.6145 0.1080
Al4 0.8696 0.7367 0.7392
Al5 0.7115 0.0120 0.4230
Al6 0.2885 0.5120 0.5770
Al7 0.5982 0.9017 0.1965
Al8 0.7067 0.3963 0.4133
Al9 0.4018 0.4017 0.8035
Al10 0.2933 0.8963 0.5867
Th1 0.8259 0.2154 0.6517
Th2 0.4744 0.7760 0.9487
Th3 0.1741 0.7154 0.3483
Th4 0.5256 0.2760 0.0513
Ni1 0.2303 0.2018 0.4607
Ni2 0.9492 0.4901 0.8985
Ni3 0.7697 0.7018 0.5393
Ni4 0.6093 0.5203 0.2187
Ni5 0.0508 0.9901 0.1015
Ni6 0.3907 0.0203 0.7813
```

Output
The calculation puts the energy at -112.71 eV for the cell shown. The calculation puts the formation enthalpy at 0 K at -5.5 eV per formula unit. As for the crystal system: orthorhombic.

=====

No. 4
DFT (PBE) results for a geometry-optimized Cd6HgBi structure.

Structure (CIF):
```
data_Cd6HgBi
_chemical_formula_sum 'Cd6 Hg1 Bi1'
_symmetry_space_group_name_H-M 'P 1'
_symmetry_Int_Tables_number 1
_symmetry_space_group_name_Hall 'P 1'
_cell_length_a 4.5897
_cell_length_b 4.5897
_cell_length_c 9.2737
_cell_angle_alpha 90.00
_cell_angle_beta 90.00
_cell_angle_gamma 90.00
loop_
_atom_site_label
_atom_site_fract_x
_atom_site_fract_y
_atom_site_fract_z
Cd1 0.5000 0.5000 0.5000
Cd2 0.0000 0.5000 0.7605
Cd3 0.5000 0.5000 0.0000
Cd4 0.5000 0.0000 0.7605
Cd5 0.5000 0.0000 0.2395
Cd6 0.0000 0.5000 0.2395
Bi1 0.0000 0.0000 0.5000
Hg1 0.0000 0.0000 0.0000
```

Output
The calculation puts the energy at -9.36 eV for the cell shown. The calculation puts the formation enthalpy at 0 K at 0.3 eV per formula unit. As for the crystal system: tetragonal.